Here is ZrTeAsBr2 after structural relaxation from Alexandria via LeMat-Bulk. Energies are from PBE.

Lattice parameters (Å, degrees): 5.381 5.381 5.656 90.00 90.00 90.00
Atoms (fractional coordinates):
Zr (0.000, 0.000, 0.000)
Te (0.500, 0.500, 0.500)
As (0.500, 0.500, 0.000)
Br (0.000, 0.500, 0.500)
Br (0.500, 0.000, 0.500)

Properties
For the energy above the most stable polymorph in this dataset, the calculation gives 969 meV/atom. As for the spin magnetization: 1.94 μB/f.u. The value obtained for the formation energy without anion corrections is 0.749 eV/atom. As for the symmetry: P4/mmm, No. 123.

***

Here is Th2AsBr2 after structural relaxation from Alexandria via LeMat-Bulk. Energies are from PBE.

Lattice parameters (Å, degrees): 4.175 4.175 33.683 90.00 90.00 120.00
Atoms (fractional coordinates):
Th (0.000, 0.000, 0.119)
Th (0.000, 0.000, 0.881)
Th (0.333, 0.667, 0.548)
Th (0.333, 0.667, 0.785)
Th (0.667, 0.333, 0.215)
Th (0.667, 0.333, 0.452)
As (0.000, 0.000, 0.500)
As (0.333, 0.667, 0.167)
As (0.667, 0.333, 0.833)
Br (0.000, 0.000, 0.273)
Br (0.000, 0.000, 0.727)
Br (0.333, 0.667, 0.394)
Br (0.333, 0.667, 0.939)
Br (0.667, 0.333, 0.061)
Br (0.667, 0.333, 0.606)

Properties
As for the spin magnetization: 0.00 μB/f.u. The value obtained for the formation energy without anion corrections is -1.454 eV/atom. As for the symmetry: R-3m, No. 166.

***

Here is TiAs2Br after structural relaxation from Alexandria via LeMat-Bulk. Energies are from PBE.

Lattice parameters (Å, degrees): 4.024 4.024 21.301 90.00 90.00 90.00
Atoms (fractional coordinates):
Ti (0.000, 0.000, 0.000)
Ti (0.000, 0.500, 0.250)
Ti (0.500, 0.000, 0.750)
Ti (0.500, 0.500, 0.500)
As (0.183, 0.250, 0.125)
As (0.250, 0.683, 0.375)
As (0.250, 0.817, 0.875)
As (0.317, 0.250, 0.625)
As (0.683, 0.750, 0.625)
As (0.750, 0.183, 0.875)
As (0.750, 0.317, 0.375)
As (0.817, 0.750, 0.125)
Br (0.000, 0.000, 0.500)
Br (0.000, 0.500, 0.750)
Br (0.500, 0.000, 0.250)
Br (0.500, 0.500, 0.000)

Properties
For the energy above the most stable polymorph in this dataset, the calculation gives 0 meV/atom. As for the spin magnetization: 1.01 μB/f.u. The value obtained for the formation energy without anion corrections is -0.010 eV/atom. As for the symmetry: I-42d, No. 122.

***

Here is TiAsBr2 after structural relaxation from Alexandria via LeMat-Bulk. Energies are from PBE.

Lattice parameters (Å, degrees): 9.525 9.525 4.948 90.00 90.00 90.00
Atoms (fractional coordinates):
Ti (0.000, 0.000, 0.000)
Ti (0.000, 0.500, 0.250)
Ti (0.500, 0.000, 0.750)
Ti (0.500, 0.500, 0.500)
As (0.000, 0.000, 0.500)
As (0.000, 0.500, 0.750)
As (0.500, 0.000, 0.250)
As (0.500, 0.500, 0.000)
Br (0.095, 0.250, 0.125)
Br (0.250, 0.595, 0.375)
Br (0.250, 0.905, 0.875)
Br (0.405, 0.250, 0.625)
Br (0.595, 0.750, 0.625)
Br (0.750, 0.095, 0.875)
Br (0.750, 0.405, 0.375)
Br (0.905, 0.750, 0.125)

Properties
For the energy above the most stable polymorph in this dataset, the calculation gives 0 meV/atom. As for the spin magnetization: 0.00 μB/f.u. The value obtained for the formation energy without anion corrections is -0.398 eV/atom. As for the symmetry: I-42d, No. 122.

***

- Among the records above, which one has the highest formation energy without anion corrections?
  ZrTeAsBr2

***

- Which value of spin magnetization does entry 3 give?
  1.01 μB/f.u.

***

- Which value of spin magnetization does entry 3 give?
  1.01 μB/f.u.

***

- The lowest formation energy without anion corrections belongs to which entry?
  Th2AsBr2